# 1
A geometry-optimized FeAgCl3 structure. Source: Alexandria, functional PBE-GGA.

abc: 6.6399 8.8761 8.8761
angles: 86.40 79.51 79.51
Last column: nearest neighbours and their distance in Å.
Fractional positions:
Fe (0.7864, 0.3841, 0.2174)  4 Cl 2.28-2.33
Fe (0.2864, 0.2174, 0.3841)  4 Cl 2.28-2.33
Fe (0.7136, 0.7826, 0.6159)  4 Cl 2.28-2.33
Fe (0.2136, 0.6159, 0.7826)  4 Cl 2.28-2.33
Ag (0.7500, 0.2745, 0.7255)  2 Cl 2.56
Ag (0.2500, 0.1000, 0.9000)  6 Cl 2.64-2.93
Ag (0.7500, 0.9000, 0.1000)  6 Cl 2.64-2.93
Ag (0.2500, 0.7255, 0.2745)  2 Cl 2.56
Cl (0.5892, 0.2891, 0.4324)  2 Fe 2.31-2.33
Cl (0.6349, 0.9666, 0.7959)  1 Fe 2.28
Cl (0.0892, 0.4324, 0.2891)  2 Fe 2.31-2.33
Cl (0.9108, 0.5676, 0.7109)  2 Fe 2.31-2.33
Cl (0.8838, 0.8624, 0.3869)  1 Fe 2.28
Cl (0.1349, 0.7959, 0.9666)  1 Fe 2.28
Cl (0.4108, 0.7109, 0.5676)  2 Fe 2.31-2.33
Cl (0.8651, 0.2041, 0.0334)  1 Fe 2.28
Cl (0.3651, 0.0334, 0.2041)  1 Fe 2.28
Cl (0.3838, 0.3869, 0.8624)  1 Fe 2.28
Cl (0.1162, 0.1376, 0.6131)  1 Fe 2.28
Cl (0.6162, 0.6131, 0.1376)  1 Fe 2.28

- Theoretical density: 3.55 g/cm³
- Volume: 506 Å³/cell
- Total energy: -78.892 eV per cell

***

# 2
A geometry-optimized FeAg2Cl structure. Source: Alexandria, functional PBE-GGA.

abc: 2.9648 2.9648 8.5395
angles: 90.00 90.00 90.00
Last column: nearest neighbours and their distance in Å.
Fractional positions:
Fe (0.5000, 0.5000, 0.7435)  4 Cl 2.53
Ag (0.0000, 0.0000, 0.9708)  4 Fe 2.86, 8 Ag 2.91-2.96
Ag (0.5000, 0.5000, 0.2079)  8 Ag 2.91-2.96
Cl (0.0000, 0.0000, 0.5778)  4 Fe 2.53

- Theoretical density: 6.79 g/cm³
- Volume: 75 Å³/cell
- Total energy: -15.547 eV per cell

***

# 3
A geometry-optimized FeAgCl3 structure. Source: Alexandria, functional PBE-GGA.

abc: 5.0335 5.0335 5.0335
angles: 90.00 90.00 90.00
Last column: nearest neighbours and their distance in Å.
Fractional positions:
Fe (0.5000, 0.5000, 0.5000)  12 Cl 3.56
Ag (0.0000, 0.0000, 0.0000)  6 Cl 2.52
Cl (0.0000, 0.5000, 0.0000)  2 Ag 2.52
Cl (0.0000, 0.0000, 0.5000)  2 Ag 2.52
Cl (0.5000, 0.0000, 0.0000)  2 Ag 2.52

- Theoretical density: 3.52 g/cm³
- Volume: 128 Å³/cell
- Total energy: -15.507 eV per cell

***

# 4
A geometry-optimized FeAg2Cl structure. Source: Alexandria, functional PBE-GGA.

abc: 2.9876 4.6235 6.0690
angles: 60.16 90.00 90.00
Last column: nearest neighbours and their distance in Å.
Fractional positions:
Fe (0.0000, 0.0000, 0.5000)  4 Cl 2.75, 2 Fe 2.99, 2 Ag 3.03
Ag (0.0000, 0.0000, 0.0000)  6 Ag 2.75-2.99, 2 Fe 3.03
Ag (0.5000, 0.5000, 0.0000)  6 Ag 2.75-2.99, 2 Cl 3.03
Cl (0.5000, 0.5000, 0.5000)  4 Fe 2.75, 2 Cl 2.99, 2 Ag 3.03

- Theoretical density: 7.01 g/cm³
- Volume: 73 Å³/cell
- Total energy: -14.430 eV per cell

***

# 5
A geometry-optimized FeAg2Cl5 structure. Source: Alexandria, functional PBE-GGA.

abc: 8.2690 10.1201 13.9049
angles: 66.32 72.70 65.89
Last column: nearest neighbours and their distance in Å.
Fractional positions:
Fe (0.9452, 0.0245, 0.3085)  4 Cl 2.19-2.25
Fe (0.2782, 0.4755, 0.1915)  4 Cl 2.19-2.25
Fe (0.7218, 0.5245, 0.8085)  4 Cl 2.19-2.25
Fe (0.0548, 0.9755, 0.6915)  4 Cl 2.19-2.25
Ag (0.4662, 0.0786, 0.6918)  5 Cl 2.59-2.78
Ag (0.6726, 0.0903, 0.9300)  4 Cl 2.53-2.69
Ag (0.6930, 0.4097, 0.5700)  4 Cl 2.53-2.69
Ag (0.7635, 0.5786, 0.1918)  5 Cl 2.59-2.78
Ag (0.2365, 0.4214, 0.8082)  5 Cl 2.59-2.78
Ag (0.3070, 0.5903, 0.4300)  4 Cl 2.53-2.69
Ag (0.3274, 0.9097, 0.0700)  4 Cl 2.53-2.69
Ag (0.5338, 0.9214, 0.3082)  5 Cl 2.59-2.78
Cl (0.9996, 0.9891, 0.1521)  1 Fe 2.23
Cl (0.2670, 0.0707, 0.5831)  1 Fe 2.22
Cl (0.8063, 0.1046, 0.6141)  1 Fe 2.25
Cl (0.4253, 0.2335, 0.2092)  1 Fe 2.19
Cl (0.8680, 0.2665, 0.2908)  1 Fe 2.19
Cl (0.3799, 0.1066, 0.8818)  4 Ag 2.62-2.76
Cl (0.3684, 0.3934, 0.6182)  4 Ag 2.62-2.76
Cl (0.1409, 0.5109, 0.3479)  1 Fe 2.23
Cl (0.0793, 0.5707, 0.0831)  1 Fe 2.22
Cl (0.5250, 0.3954, 0.8859)  1 Fe 2.25
Cl (0.4750, 0.6046, 0.1141)  1 Fe 2.25
Cl (0.9207, 0.4293, 0.9169)  1 Fe 2.22
Cl (0.8591, 0.4891, 0.6521)  1 Fe 2.23
Cl (0.6316, 0.6066, 0.3818)  4 Ag 2.62-2.76
Cl (0.6201, 0.8934, 0.1182)  4 Ag 2.62-2.76
Cl (0.1320, 0.7335, 0.7092)  1 Fe 2.19
Cl (0.5747, 0.7665, 0.7908)  1 Fe 2.19
Cl (0.1937, 0.8954, 0.3859)  1 Fe 2.25
Cl (0.7330, 0.9293, 0.4169)  1 Fe 2.22
Cl (0.0004, 0.0109, 0.8479)  1 Fe 2.23

- Theoretical density: 3.10 g/cm³
- Volume: 960 Å³/cell
- Total energy: -113.102 eV per cell

***

# 6
A geometry-optimized Fe2AgCl6 structure. Source: Alexandria, functional PBE-GGA.

abc: 6.3453 9.6084 9.6084
angles: 89.84 74.83 74.83
Last column: nearest neighbours and their distance in Å.
Fractional positions:
Fe (0.2008, 0.6318, 0.7938)  4 Cl 2.21-2.33
Fe (0.2992, 0.2062, 0.3682)  4 Cl 2.21-2.33
Fe (0.7992, 0.3682, 0.2062)  4 Cl 2.21-2.33
Fe (0.7008, 0.7938, 0.6318)  4 Cl 2.21-2.33
Ag (0.2500, 0.1977, 0.8023)  4 Cl 2.59-2.60
Ag (0.7500, 0.8023, 0.1977)  4 Cl 2.59-2.60
Cl (0.3926, 0.7263, 0.5938)  2 Fe 2.31-2.33
Cl (0.1074, 0.4062, 0.2737)  2 Fe 2.31-2.33
Cl (0.6074, 0.2737, 0.4062)  2 Fe 2.31-2.33
Cl (0.8926, 0.5938, 0.7263)  2 Fe 2.31-2.33
Cl (0.9048, 0.8302, 0.4174)  1 Fe 2.21
Cl (0.5952, 0.5826, 0.1698)  1 Fe 2.21
Cl (0.0952, 0.1698, 0.5826)  1 Fe 2.21
Cl (0.4048, 0.4174, 0.8302)  1 Fe 2.21
Cl (0.0934, 0.7958, 0.9771)  1 Fe 2.21
Cl (0.4066, 0.0229, 0.2042)  1 Fe 2.21
Cl (0.9066, 0.2042, 0.0229)  1 Fe 2.21
Cl (0.5934, 0.9771, 0.7958)  1 Fe 2.21

- Theoretical density: 2.64 g/cm³
- Volume: 544 Å³/cell
- Total energy: -74.092 eV per cell

***

# 7
A geometry-optimized FeAgCl2 structure. Source: Alexandria, functional PBE-GGA.

abc: 6.9104 6.9104 6.9104
angles: 152.44 140.91 48.49
Last column: nearest neighbours and their distance in Å.
Fractional positions:
Fe (0.7500, 0.2500, 0.5000)  4 Cl 2.39
Ag (0.2500, 0.7500, 0.5000)  4 Fe 2.84, 4 Cl 2.89
Cl (0.8879, 0.8879, 0.0000)  2 Fe 2.39
Cl (0.6121, 0.6121, 0.0000)  2 Fe 2.39

- Theoretical density: 4.06 g/cm³
- Volume: 96 Å³/cell
- Total energy: -15.781 eV per cell

***

# 8
A geometry-optimized FeAg2Cl6 structure. Source: Alexandria, functional PBE-GGA.

abc: 6.4473 6.2699 11.0875
angles: 90.00 93.75 90.00
Last column: nearest neighbours and their distance in Å.
Fractional positions:
Fe (0.5000, 0.5000, 0.0000)  6 Cl 2.33-2.53
Fe (0.0000, 0.0000, 0.5000)  6 Cl 2.33-2.53
Ag (0.0044, 0.5301, 0.8155)  5 Cl 2.57-2.86
Ag (0.4956, 0.0301, 0.6845)  5 Cl 2.57-2.86
Ag (0.5044, 0.9699, 0.3155)  5 Cl 2.57-2.86
Ag (0.9956, 0.4699, 0.1845)  5 Cl 2.57-2.86
Cl (0.1654, 0.1852, 0.3278)  1 Fe 2.53, 2 Ag 2.58-2.59
Cl (0.1624, 0.2491, 0.6398)  1 Fe 2.39, 1 Ag 2.57
Cl (0.2066, 0.2825, 0.9770)  1 Fe 2.33
Cl (0.2934, 0.7825, 0.5230)  1 Fe 2.33
Cl (0.3376, 0.7491, 0.8602)  1 Fe 2.39, 1 Ag 2.57
Cl (0.3346, 0.6852, 0.1722)  1 Fe 2.53, 2 Ag 2.58-2.59
Cl (0.8346, 0.8148, 0.6722)  1 Fe 2.53, 2 Ag 2.58-2.59
Cl (0.8376, 0.7509, 0.3602)  1 Fe 2.39, 1 Ag 2.57
Cl (0.7934, 0.7175, 0.0230)  1 Fe 2.33
Cl (0.7066, 0.2175, 0.4770)  1 Fe 2.33
Cl (0.6624, 0.2509, 0.1398)  1 Fe 2.39, 1 Ag 2.57
Cl (0.6654, 0.3148, 0.8278)  1 Fe 2.53, 2 Ag 2.58-2.59

- Theoretical density: 3.60 g/cm³
- Volume: 447 Å³/cell
- Total energy: -59.841 eV per cell

***

# 9
A geometry-optimized FeAg2Cl structure. Source: Alexandria, functional PBE-GGA.

abc: 2.9735 2.9735 9.0075
angles: 90.00 90.00 114.65
Last column: nearest neighbours and their distance in Å.
Fractional positions:
Fe (0.5000, 0.5000, 0.7370)  2 Cl 2.34
Ag (0.0000, 0.0000, 0.9777)  2 Fe 2.70, 6 Ag 2.84-2.97
Ag (0.5000, 0.5000, 0.2372)  6 Ag 2.84-2.97
Cl (0.0000, 0.0000, 0.5482)  2 Fe 2.34

- Theoretical density: 7.04 g/cm³
- Volume: 72 Å³/cell
- Total energy: -15.452 eV per cell

***

# 10
A geometry-optimized FeAg2Cl structure. Source: Alexandria, functional PBE-GGA.

abc: 6.7490 6.7490 6.7490
angles: 154.89 141.25 46.73
Last column: nearest neighbours and their distance in Å.
Fractional positions:
Fe (0.7243, 0.2243, 0.5000)  2 Cl 2.36
Ag (0.9169, 0.9169, 0.0000)  4 Ag 2.78-2.93, 2 Fe 2.80
Ag (0.2842, 0.7842, 0.5000)  4 Fe 2.78, 4 Ag 2.78-2.93
Cl (0.5747, 0.5747, 0.0000)  2 Fe 2.36

- Theoretical density: 6.26 g/cm³
- Volume: 81 Å³/cell
- Total energy: -15.295 eV per cell

***

# 11
A geometry-optimized Fe2AgCl6 structure. Source: Alexandria, functional PBE-GGA.

abc: 6.6248 8.7919 8.7919
angles: 85.61 80.22 80.22
Last column: nearest neighbours and their distance in Å.
Fractional positions:
Fe (0.2019, 0.6184, 0.7871)  4 Cl 2.19-2.32
Fe (0.2981, 0.2129, 0.3816)  4 Cl 2.19-2.32
Fe (0.7981, 0.3816, 0.2129)  4 Cl 2.19-2.32
Fe (0.7019, 0.7871, 0.6184)  4 Cl 2.19-2.32
Ag (0.2500, 0.1157, 0.8843)  6 Cl 2.67-2.97
Ag (0.7500, 0.8843, 0.1157)  6 Cl 2.67-2.97
Cl (0.4027, 0.7093, 0.5693)  2 Fe 2.31-2.32
Cl (0.0973, 0.4307, 0.2907)  2 Fe 2.31-2.32
Cl (0.5973, 0.2907, 0.4307)  2 Fe 2.31-2.32
Cl (0.9027, 0.5693, 0.7093)  2 Fe 2.31-2.32
Cl (0.8678, 0.8675, 0.3973)  1 Fe 2.19
Cl (0.6322, 0.6027, 0.1325)  1 Fe 2.19
Cl (0.1322, 0.1325, 0.6027)  1 Fe 2.19
Cl (0.3678, 0.3973, 0.8675)  1 Fe 2.19
Cl (0.1289, 0.8052, 0.9555)  1 Fe 2.23
Cl (0.3711, 0.0445, 0.1948)  1 Fe 2.23
Cl (0.8711, 0.1948, 0.0445)  1 Fe 2.23
Cl (0.6289, 0.9555, 0.8052)  1 Fe 2.23

- Theoretical density: 2.89 g/cm³
- Volume: 497 Å³/cell
- Total energy: -74.023 eV per cell

***

# 12
A geometry-optimized FeAgCl3 structure. Source: Alexandria, functional PBE-GGA.

abc: 5.0565 7.0279 8.1528
angles: 75.66 88.39 67.47
Last column: nearest neighbours and their distance in Å.
Fractional positions:
Fe (0.6649, 0.6082, 0.7357)  4 Cl 2.29-2.33
Fe (0.8176, 0.2968, 0.0477)  4 Cl 2.29-2.32
Ag (0.7903, 0.0234, 0.5526)  4 Cl 2.58-2.87
Ag (0.6995, 0.8777, 0.2258)  3 Cl 2.59-2.77
Cl (0.5805, 0.3018, 0.8056)  2 Fe 2.29-2.32
Cl (0.9033, 0.6031, 0.9776)  2 Fe 2.29-2.33
Cl (0.5394, 0.3030, 0.2736)  1 Fe 2.29
Cl (0.3072, 0.9418, 0.6628)  1 Fe 2.29
Cl (0.1775, 0.9639, 0.1203)  1 Fe 2.29
Cl (0.9432, 0.6019, 0.5093)  1 Fe 2.29

- Theoretical density: 3.47 g/cm³
- Volume: 259 Å³/cell
- Total energy: -39.442 eV per cell

***

# 13
A geometry-optimized FeAgCl6 structure. Source: Alexandria, functional PBE-GGA.

abc: 6.2170 6.1828 6.6277
angles: 62.27 61.77 60.12
Last column: nearest neighbours and their distance in Å.
Fractional positions:
Fe (0.0000, 0.0000, 0.0000)  6 Cl 2.26-2.27
Ag (0.5000, 0.5000, 0.5000)  6 Cl 2.64-2.69
Cl (0.0744, 0.3791, 0.7670)  1 Fe 2.26
Cl (0.7832, 0.0713, 0.7691)  1 Fe 2.26
Cl (0.6198, 0.2208, 0.2337)  1 Fe 2.27
Cl (0.2168, 0.9287, 0.2309)  1 Fe 2.26
Cl (0.9256, 0.6209, 0.2330)  1 Fe 2.26
Cl (0.3802, 0.7792, 0.7663)  1 Fe 2.27

- Theoretical density: 3.37 g/cm³
- Volume: 186 Å³/cell
- Total energy: -25.754 eV per cell

***

# 14
A geometry-optimized Fe4AgCl structure. Source: Alexandria, functional PBE-GGA.

abc: 5.0298 5.0298 5.0298
angles: 60.00 60.00 60.00
Last column: nearest neighbours and their distance in Å.
Fractional positions:
Fe (0.8686, 0.3771, 0.3771)  6 Fe 2.47-2.56
Fe (0.3771, 0.3771, 0.8686)  6 Fe 2.47-2.56
Fe (0.3771, 0.8686, 0.3771)  6 Fe 2.47-2.56
Fe (0.3771, 0.3771, 0.3771)  6 Fe 2.47-2.56
Ag (0.7500, 0.7500, 0.7500)  12 Fe 2.94, 4 Cl 3.08
Cl (0.0000, 0.0000, 0.0000)  12 Fe 2.95, 4 Ag 3.08

- Theoretical density: 6.77 g/cm³
- Volume: 90 Å³/cell
- Total energy: -34.985 eV per cell

***

# 15
A geometry-optimized FeAg2Cl structure. Source: Alexandria, functional PBE-GGA.

abc: 4.6536 4.6536 4.6536
angles: 60.00 60.00 60.00
Last column: nearest neighbours and their distance in Å.
Fractional positions:
Fe (0.7500, 0.7500, 0.7500)  4 Ag 2.85, 4 Cl 2.85
Ag (0.0000, 0.0000, 0.0000)  4 Fe 2.85, 4 Ag 2.85
Ag (0.2500, 0.2500, 0.2500)  4 Cl 2.85, 4 Ag 2.85
Cl (0.5000, 0.5000, 0.5000)  4 Ag 2.85, 4 Fe 2.85

- Theoretical density: 7.15 g/cm³
- Volume: 71 Å³/cell
- Total energy: -13.859 eV per cell

***

# 16
A geometry-optimized FeAg2Cl structure. Source: Alexandria, functional PBE-GGA.

abc: 9.0917 9.0917 9.0917
angles: 19.40 19.40 19.40
Last column: nearest neighbours and their distance in Å.
Fractional positions:
Fe (0.7546, 0.7546, 0.7546)  3 Cl 2.37
Ag (0.0087, 0.0087, 0.0087)  3 Fe 2.76, 9 Ag 2.90-3.06
Ag (0.2563, 0.2563, 0.2563)  9 Ag 2.90-3.06
Cl (0.4804, 0.4804, 0.4804)  3 Fe 2.37

- Theoretical density: 7.04 g/cm³
- Volume: 72 Å³/cell
- Total energy: -15.736 eV per cell

***

# 17
A geometry-optimized FeAgCl2 structure. Source: Alexandria, functional PBE-GGA.

abc: 3.0283 3.0283 9.8863
angles: 90.00 90.00 90.00
Last column: nearest neighbours and their distance in Å.
Fractional positions:
Fe (0.5000, 0.5000, 0.2500)  8 Cl 2.62
Ag (0.5000, 0.5000, 0.7500)  4 Ag 3.03
Cl (0.0000, 0.0000, 0.0971)  4 Fe 2.62
Cl (0.0000, 0.0000, 0.4029)  4 Fe 2.62

- Theoretical density: 4.30 g/cm³
- Volume: 91 Å³/cell
- Total energy: -15.186 eV per cell

***

# 18
A geometry-optimized Ga2FeAgCl structure. Source: Alexandria, functional PBE-GGA.

abc: 5.0198 5.1442 5.0198
angles: 90.00 90.00 90.00
Last column: nearest neighbours and their distance in Å.
Fractional positions:
Cl (0.0000, 0.5000, 0.0000)  2 Ag 2.57
Ga (0.0000, 0.0000, 0.5000)  2 Ag 2.51
Ga (0.5000, 0.0000, 0.0000)  2 Ag 2.51
Ag (0.0000, 0.0000, 0.0000)  4 Ga 2.51, 2 Cl 2.57
Fe (0.5000, 0.5000, 0.5000)  4 Cl 3.55, 8 Ga 3.59

- Theoretical density: 4.34 g/cm³
- Volume: 130 Å³/cell
- Total energy: -15.287 eV per cell

***

# 19
A geometry-optimized FeAgHgCl5 structure. Source: Alexandria, functional PBE-GGA.

abc: 7.1727 7.1727 9.9944
angles: 107.72 107.72 92.91
Last column: nearest neighbours and their distance in Å.
Fractional positions:
Fe (0.6659, 0.3341, 0.2500)  4 Cl 2.25-2.26
Fe (0.3341, 0.6659, 0.7500)  4 Cl 2.25-2.26
Ag (0.3532, 0.6468, 0.2500)  3 Cl 2.47-2.64
Ag (0.6468, 0.3532, 0.7500)  3 Cl 2.47-2.64
Hg (0.0000, 0.0000, 0.5000)  4 Cl 2.63-2.77
Hg (0.0000, 0.0000, 0.0000)  4 Cl 2.63-2.77
Cl (0.1158, 0.8842, 0.2500)  1 Ag 2.47
Cl (0.8842, 0.1158, 0.7500)  1 Ag 2.47
Cl (0.9084, 0.3311, 0.1504)  1 Fe 2.25
Cl (0.0916, 0.6689, 0.8496)  1 Fe 2.25
Cl (0.6689, 0.0916, 0.3496)  1 Fe 2.25
Cl (0.3311, 0.9084, 0.6504)  1 Fe 2.25
Cl (0.7007, 0.6275, 0.4315)  1 Fe 2.26
Cl (0.2993, 0.3725, 0.5685)  1 Fe 2.26
Cl (0.3725, 0.2993, 0.0685)  1 Fe 2.26
Cl (0.6275, 0.7007, 0.9315)  1 Fe 2.26

- Theoretical density: 3.90 g/cm³
- Volume: 461 Å³/cell
- Total energy: -50.772 eV per cell

***

# 20
A geometry-optimized Fe2AgI6Cl2 structure. Source: Alexandria, functional PBE-GGA.

abc: 7.1842 7.1842 9.9365
angles: 90.00 90.00 120.00
Last column: nearest neighbours and their distance in Å.
Fractional positions:
Fe (0.3333, 0.6667, 0.7338)  1 Cl 2.14
Fe (0.6667, 0.3333, 0.2662)  1 Cl 2.14
Ag (0.0000, 0.0000, 0.0000)  6 I 2.99
I (0.3337, 0.3314, 0.8198)  1 Fe 2.56
I (0.9978, 0.6663, 0.8198)  1 Fe 2.56
I (0.6686, 0.0022, 0.8198)  1 Fe 2.56
I (0.6663, 0.6686, 0.1802)  1 Fe 2.56
I (0.0022, 0.3337, 0.1802)  1 Fe 2.56
I (0.3314, 0.9978, 0.1802)  1 Fe 2.56
Cl (0.3333, 0.6667, 0.5180)  1 Fe 2.14
Cl (0.6667, 0.3333, 0.4820)  1 Fe 2.14

- Theoretical density: 3.93 g/cm³
- Volume: 444 Å³/cell
- Total energy: -35.666 eV per cell